First-principles (GGA-PBE) data for crystalline GdCd2Pd at its relaxed geometry, as listed in the Alexandria database.

Computed properties:
DFT formation energy ... -386 meV per atom
Size of the total moment ... 1.83 μB/atom
Electronic total energy ... -5.66 eV/atom
Volume ... 89.2 Å³/f.u.

a = 4.198 Å, b = 4.198 Å, c = 5.061 Å
α = 90.00°, β = 90.00°, γ = 90.00°
Positions (direct):
1 Gd 0.000 0.000 0.000
2 Cd 0.000 0.500 0.500
3 Cd 0.500 0.000 0.500
4 Pd 0.500 0.500 0.000

=====

First-principles (GGA-PBE) data for crystalline Gd2CdPd at its relaxed geometry, as listed in the Alexandria database.

Computed properties:
DFT formation energy ... -581 meV per atom
Size of the total moment ... 3.61 μB/atom
Polymorph energy (0 for the lowest one) ... 0 meV/atom
Electronic total energy ... -9.15 eV/atom
Volume ... 98.1 Å³/f.u.

a = 3.634 Å, b = 3.634 Å, c = 7.426 Å
α = 90.00°, β = 90.00°, γ = 90.00°
Positions (direct):
1 Gd 0.000 0.000 0.228
2 Gd 0.000 0.000 0.772
3 Cd 0.500 0.500 0.500
4 Pd 0.500 0.500 0.000

=====

First-principles (GGA-PBE) data for crystalline GdCd2Pd at its relaxed geometry, as listed in the Alexandria database.

Computed properties:
DFT formation energy ... 43 meV per atom
Size of the total moment ... 1.85 μB/atom
Electronic total energy ... -5.23 eV/atom
Volume ... 93.6 Å³/f.u.

a = 3.199 Å, b = 3.199 Å, c = 31.692 Å
α = 90.00°, β = 90.00°, γ = 120.00°
Positions (direct):
1 Gd 0.000 0.000 0.000
2 Gd 0.333 0.667 0.667
3 Gd 0.667 0.333 0.333
4 Cd 0.000 0.000 0.100
5 Cd 0.000 0.000 0.900
6 Cd 0.333 0.667 0.567
7 Cd 0.333 0.667 0.766
8 Cd 0.667 0.333 0.234
9 Cd 0.667 0.333 0.433
10 Pd 0.000 0.000 0.500
11 Pd 0.333 0.667 0.167
12 Pd 0.667 0.333 0.833

=====

First-principles (GGA-PBE) data for crystalline GdCdPd at its relaxed geometry, as listed in the Alexandria database.

Computed properties:
DFT formation energy ... -687 meV per atom
Size of the total moment ... 2.40 μB/atom
Electronic total energy ... -7.42 eV/atom
Volume ... 67.3 Å³/f.u.

a = 7.644 Å, b = 7.644 Å, c = 3.993 Å
α = 90.00°, β = 90.00°, γ = 120.00°
Positions (direct):
1 Gd 0.000 0.595 0.000
2 Gd 0.405 0.405 0.000
3 Gd 0.595 0.000 0.000
4 Cd 0.000 0.255 0.500
5 Cd 0.255 0.000 0.500
6 Cd 0.745 0.745 0.500
7 Pd 0.000 0.000 0.000
8 Pd 0.333 0.667 0.500
9 Pd 0.667 0.333 0.500

=====

First-principles (GGA-PBE) data for crystalline Gd2CdPd at its relaxed geometry, as listed in the Alexandria database.

Computed properties:
DFT formation energy ... -530 meV per atom
Size of the total moment ... 3.56 μB/atom
Polymorph energy (0 for the lowest one) ... 51 meV/atom
Electronic total energy ... -9.10 eV/atom
Volume ... 97.7 Å³/f.u.

a = 7.311 Å, b = 7.311 Å, c = 7.311 Å
α = 90.00°, β = 90.00°, γ = 90.00°
Positions (direct):
1 Gd 0.250 0.250 0.250
2 Gd 0.250 0.250 0.750
3 Gd 0.250 0.750 0.250
4 Gd 0.250 0.750 0.750
5 Gd 0.750 0.250 0.250
6 Gd 0.750 0.250 0.750
7 Gd 0.750 0.750 0.250
8 Gd 0.750 0.750 0.750
9 Cd 0.000 0.000 0.000
10 Cd 0.000 0.500 0.500
11 Cd 0.500 0.000 0.500
12 Cd 0.500 0.500 0.000
13 Pd 0.000 0.000 0.500
14 Pd 0.000 0.500 0.000
15 Pd 0.500 0.000 0.000
16 Pd 0.500 0.500 0.500

=====

First-principles (GGA-PBE) data for crystalline GdCdPd at its relaxed geometry, as listed in the Alexandria database.

Computed properties:
DFT formation energy ... -547 meV per atom
Size of the total moment ... 2.39 μB/atom
Electronic total energy ... -7.28 eV/atom
Volume ... 68.5 Å³/f.u.

a = 4.727 Å, b = 4.727 Å, c = 3.537 Å
α = 90.00°, β = 90.00°, γ = 120.00°
Positions (direct):
1 Gd 0.000 0.000 0.000
2 Cd 0.333 0.667 0.500
3 Pd 0.667 0.333 0.500

=====

First-principles (GGA-PBE) data for crystalline Gd2CdPd at its relaxed geometry, as listed in the Alexandria database.

Computed properties:
DFT formation energy ... -430 meV per atom
Size of the total moment ... 3.63 μB/atom
Polymorph energy (0 for the lowest one) ... 151 meV/atom
Electronic total energy ... -9.00 eV/atom
Volume ... 110.6 Å³/f.u.

a = 3.935 Å, b = 3.935 Å, c = 24.756 Å
α = 90.00°, β = 90.00°, γ = 120.00°
Positions (direct):
1 Gd 0.000 0.000 0.237
2 Gd 0.000 0.000 0.763
3 Gd 0.333 0.667 0.430
4 Gd 0.333 0.667 0.904
5 Gd 0.667 0.333 0.096
6 Gd 0.667 0.333 0.570
7 Cd 0.000 0.000 0.000
8 Cd 0.333 0.667 0.667
9 Cd 0.667 0.333 0.333
10 Pd 0.000 0.000 0.500
11 Pd 0.333 0.667 0.167
12 Pd 0.667 0.333 0.833

=====

First-principles (GGA-PBE) data for crystalline GdCd4Pd at its relaxed geometry, as listed in the Alexandria database.

Computed properties:
DFT formation energy ... -181 meV per atom
Size of the total moment ... 1.20 μB/atom
Electronic total energy ... -4.00 eV/atom
Volume ... 132.4 Å³/f.u.

a = 5.721 Å, b = 5.721 Å, c = 5.721 Å
α = 60.00°, β = 60.00°, γ = 60.00°
Positions (direct):
1 Gd 0.000 0.000 0.000
2 Cd 0.127 0.624 0.624
3 Cd 0.624 0.127 0.624
4 Cd 0.624 0.624 0.127
5 Cd 0.624 0.624 0.624
6 Pd 0.250 0.250 0.250

=====

First-principles (GGA-PBE) data for crystalline GdCdPd at its relaxed geometry, as listed in the Alexandria database.

Computed properties:
DFT formation energy ... -574 meV per atom
Size of the total moment ... 2.37 μB/atom
Electronic total energy ... -7.30 eV/atom
Volume ... 66.1 Å³/f.u.

a = 3.688 Å, b = 3.688 Å, c = 9.723 Å
α = 90.00°, β = 90.00°, γ = 90.00°
Positions (direct):
1 Gd 0.000 0.000 0.000
2 Gd 0.500 0.500 0.500
3 Cd 0.000 0.000 0.688
4 Cd 0.500 0.500 0.188
5 Pd 0.000 0.000 0.345
6 Pd 0.500 0.500 0.845

=====

First-principles (GGA-PBE) data for crystalline GdCd2Pd at its relaxed geometry, as listed in the Alexandria database.

Computed properties:
DFT formation energy ... -357 meV per atom
Size of the total moment ... 1.88 μB/atom
Electronic total energy ... -5.63 eV/atom
Volume ... 86.4 Å³/f.u.

a = 7.018 Å, b = 7.018 Å, c = 7.018 Å
α = 90.00°, β = 90.00°, γ = 90.00°
Positions (direct):
1 Gd 0.000 0.000 0.000
2 Gd 0.000 0.500 0.500
3 Gd 0.500 0.000 0.500
4 Gd 0.500 0.500 0.000
5 Cd 0.250 0.250 0.250
6 Cd 0.250 0.250 0.750
7 Cd 0.250 0.750 0.250
8 Cd 0.250 0.750 0.750
9 Cd 0.750 0.250 0.250
10 Cd 0.750 0.250 0.750
11 Cd 0.750 0.750 0.250
12 Cd 0.750 0.750 0.750
13 Pd 0.000 0.000 0.500
14 Pd 0.000 0.500 0.000
15 Pd 0.500 0.000 0.000
16 Pd 0.500 0.500 0.500

=====

First-principles (GGA-PBE) data for crystalline PmGdCdPd at its relaxed geometry, as listed in the Alexandria database.

Computed properties:
DFT formation energy ... -509 meV per atom
Size of the total moment ... 1.79 μB/atom
Electronic total energy ... -6.74 eV/atom
Volume ... 100.2 Å³/f.u.

a = 7.373 Å, b = 7.373 Å, c = 7.373 Å
α = 90.00°, β = 90.00°, γ = 90.00°
Positions (direct):
1 Pm 0.000 0.000 0.000
2 Pm 0.000 0.500 0.500
3 Pm 0.500 0.000 0.500
4 Pm 0.500 0.500 0.000
5 Gd 0.000 0.000 0.500
6 Gd 0.000 0.500 0.000
7 Gd 0.500 0.000 0.000
8 Gd 0.500 0.500 0.500
9 Cd 0.250 0.250 0.250
10 Cd 0.250 0.750 0.750
11 Cd 0.750 0.250 0.750
12 Cd 0.750 0.750 0.250
13 Pd 0.250 0.250 0.750
14 Pd 0.250 0.750 0.250
15 Pd 0.750 0.250 0.250
16 Pd 0.750 0.750 0.750

=====

First-principles (GGA-PBE) data for crystalline PrGdCdPd at its relaxed geometry, as listed in the Alexandria database.

Computed properties:
DFT formation energy ... -488 meV per atom
Size of the total moment ... 1.81 μB/atom
Electronic total energy ... -6.73 eV/atom
Volume ... 102.5 Å³/f.u.

a = 7.428 Å, b = 7.428 Å, c = 7.428 Å
α = 90.00°, β = 90.00°, γ = 90.00°
Positions (direct):
1 Pr 0.000 0.000 0.000
2 Pr 0.000 0.500 0.500
3 Pr 0.500 0.000 0.500
4 Pr 0.500 0.500 0.000
5 Gd 0.000 0.000 0.500
6 Gd 0.000 0.500 0.000
7 Gd 0.500 0.000 0.000
8 Gd 0.500 0.500 0.500
9 Cd 0.250 0.250 0.750
10 Cd 0.250 0.750 0.250
11 Cd 0.750 0.250 0.250
12 Cd 0.750 0.750 0.750
13 Pd 0.250 0.250 0.250
14 Pd 0.250 0.750 0.750
15 Pd 0.750 0.250 0.750
16 Pd 0.750 0.750 0.250

=====

Repeat the eighth record exactly.
First-principles (GGA-PBE) data for crystalline GdCd4Pd at its relaxed geometry, as listed in the Alexandria database.

Computed properties:
DFT formation energy ... -181 meV per atom
Size of the total moment ... 1.20 μB/atom
Electronic total energy ... -4.00 eV/atom
Volume ... 132.4 Å³/f.u.

a = 5.721 Å, b = 5.721 Å, c = 5.721 Å
α = 60.00°, β = 60.00°, γ = 60.00°
Positions (direct):
1 Gd 0.000 0.000 0.000
2 Cd 0.127 0.624 0.624
3 Cd 0.624 0.127 0.624
4 Cd 0.624 0.624 0.127
5 Cd 0.624 0.624 0.624
6 Pd 0.250 0.250 0.250